# 1
TcNiSe2, relaxed, DFT PBE; formation energy from raw total energies = -2.5 kJ/mol of formula units
1.0
5.509 0.000 0.000
0.000 5.509 0.000
2.755 2.755 5.355
Se Tc Ni
4 2 2
direct
0.136 0.625 0.250 Se
0.375 0.386 0.750 Se
0.614 0.125 0.250 Se
0.875 0.864 0.750 Se
0.000 0.000 0.000 Tc
0.750 0.250 0.500 Tc
0.500 0.500 0.000 Ni
0.250 0.750 0.500 Ni

***

# 2
SmCdGa, relaxed, DFT PBE; energy relative to the elements = -0.474 eV per atom
1.0
3.655 0.000 0.000
0.000 4.708 0.000
0.000 0.000 8.264
Cd Ga Sm
2 2 2
direct
0.812 0.216 0.310 Cd
0.812 0.716 0.483 Cd
0.811 0.716 0.812 Ga
0.812 0.216 0.980 Ga
0.312 0.716 0.121 Sm
0.312 0.216 0.672 Sm

***

# 3
Sc2Ag2Te, relaxed, DFT PBE; formation energy from raw total energies = -26.5 kJ/mol of formula units
1.0
4.673 0.000 0.000
0.000 4.673 0.000
2.336 2.336 5.638
Ag Sc Te
2 2 1
direct
0.616 0.616 0.769 Ag
0.384 0.384 0.231 Ag
0.750 0.250 0.500 Sc
0.250 0.750 0.500 Sc
0.000 0.000 0.000 Te

***

# 4
Pm3Al3Hg2Ru, relaxed, DFT PBE; energy relative to the elements = -0.480 eV per atom
1.0
-1.442 1.613 3.927
-6.720 -2.320 -1.515
4.648 -4.359 3.497
Hg Pm Al Ru
2 3 3 1
direct
0.500 0.667 0.333 Hg
0.500 0.333 0.667 Hg
0.000 0.604 0.604 Pm
0.000 0.396 0.000 Pm
0.000 0.000 0.396 Pm
0.500 0.000 0.783 Al
0.500 0.217 0.217 Al
0.500 0.783 0.000 Al
0.000 0.000 0.000 Ru